--- one ---
ZrTi3Os | PBE | relaxed

ρ in kg/m³: 6654

Lattice parameters (Å, degrees): 4.7338 4.7338 4.7338 90.00 90.00 90.00
Closest atoms and distances in Å follow each position.
Fractional coordinates of all 5 atoms:
Os: 0.0000 0.0000 0.0000  6 Ti 2.37
Zr: 0.5000 0.5000 0.5000  12 Ti 3.35
Ti: 0.0000 0.5000 0.0000  2 Os 2.37
Ti: 0.0000 0.0000 0.5000  2 Os 2.37
Ti: 0.5000 0.0000 0.0000  2 Os 2.37

--- two ---
ZrTi3Os | PBE | relaxed

ρ in kg/m³: 7219

Lattice parameters (Å, degrees): 4.6068 4.6068 4.6068 90.00 90.00 90.00
Closest atoms and distances in Å follow each position.
Fractional coordinates of all 5 atoms:
Os: 0.5000 0.5000 0.5000  12 Ti 3.26
Zr: 0.0000 0.0000 0.0000  6 Ti 2.30
Ti: 0.0000 0.5000 0.0000  2 Zr 2.30
Ti: 0.0000 0.0000 0.5000  2 Zr 2.30
Ti: 0.5000 0.0000 0.0000  2 Zr 2.30

Best to worst by energy: one, two.

--- one ---
ZrTi2Os | PBE | relaxed

ρ in kg/m³: 9068

Lattice parameters (Å, degrees): 3.1214 3.1214 7.0896 90.00 90.00 90.00
Closest atoms and distances in Å follow each position.
Fractional coordinates of all 4 atoms:
Os: 0.5000 0.5000 0.0000  8 Ti 2.68
Zr: 0.5000 0.5000 0.5000  8 Ti 3.00, 4 Zr 3.12
Ti: 0.0000 0.0000 0.7865  4 Os 2.68
Ti: 0.0000 0.0000 0.2135  4 Os 2.68

--- two ---
ZrTi2Os | PBE | relaxed

ρ in kg/m³: 9337

Lattice parameters (Å, degrees): 3.1888 4.5866 4.5866 90.00 90.00 90.00
Closest atoms and distances in Å follow each position.
Fractional coordinates of all 4 atoms:
Os: 0.5000 0.0000 0.0000  8 Ti 2.79
Zr: 0.5000 0.5000 0.5000  8 Ti 2.79
Ti: 0.0000 0.0000 0.5000  4 Zr 2.79, 4 Os 2.79
Ti: 0.0000 0.5000 0.0000  4 Zr 2.79, 4 Os 2.79

--- three ---
ZrTi2Os | PBE | relaxed

ρ in kg/m³: 8234

Lattice parameters (Å, degrees): 7.3865 7.3865 5.9207 51.41 51.41 90.00
Closest atoms and distances in Å follow each position.
Fractional coordinates of all 8 atoms:
Os: 0.0000 0.0000 0.0000  4 Ti 2.47
Os: 0.7500 0.2500 0.5000  4 Ti 2.47
Zr: 0.5000 0.5000 0.0000  2 Os 2.79, 4 Ti 2.96
Zr: 0.2500 0.7500 0.5000  2 Os 2.79, 4 Ti 2.96
Ti: 0.6741 0.1250 0.2500  2 Os 2.47
Ti: 0.0759 0.6250 0.2500  2 Os 2.47
Ti: 0.3750 0.3259 0.7500  2 Os 2.47
Ti: 0.8750 0.9241 0.7500  2 Os 2.47

--- four ---
ZrTi2Os | PBE | relaxed

ρ in kg/m³: 8983

Lattice parameters (Å, degrees): 3.1712 4.6832 5.4825 115.34 106.81 90.00
Closest atoms and distances in Å follow each position.
Fractional coordinates of all 4 atoms:
Zr: 0.0000 0.5000 0.0000  4 Os 2.83, 8 Ti 3.02-3.16
Ti: 0.7736 0.7735 0.5471  2 Os 2.65, 4 Ti 2.86
Ti: 0.2264 0.2265 0.4529  2 Os 2.65, 4 Ti 2.86
Os: 0.5000 0.0000 0.0000  4 Ti 2.65, 4 Zr 2.83

Best to worst by energy: four, one, two, three.